1.
Material: CaGa2Rh2
Method: DFT, GGA-PBE
State: optimized geometry

It has space group P4/mbm (No. 127), with a = 7.476 Å, b = 7.476 Å, c = 2.970 Å, α = 90.00°, β = 90.00° and γ = 90.00°. The asymmetric unit holds Ca at (0.000, 0.000, 0.000), Ga at (0.146, 0.354, 0.500) and Rh at (0.147, 0.647, 0.000).

For the density, the calculation gives 7.7 Mg/m³. As for the density of states at the Fermi level: 2.922 states/eV/cell. Its magnetization is 0.00 μB/atom. Its crystal system is tetragonal. The energy comes out at -5.20 eV per atom.


2.
Material: Rb2USbO6
Method: DFT, GGA-PBE
State: optimized geometry

It has space group Fm-3m (No. 225), with a = 8.436 Å, b = 8.436 Å, c = 8.436 Å, α = 90.00°, β = 90.00° and γ = 90.00°. The asymmetric unit holds Rb at (0.250, 0.250, 0.250), U at (0.000, 0.000, 0.000), Sb at (0.000, 0.000, 0.500) and O at (0.000, 0.000, 0.258).

For the density, the calculation gives 6.9 Mg/m³. As for the uncorrected formation energy: -2.21 eV per atom. As for the density of states at the Fermi level: 9.261 states/eV/cell. Its magnetization is 0.10 μB/atom. Its crystal system is cubic.


3.
Material: AcTl2ReO8
Method: DFT, GGA-PBE
State: optimized geometry

It has space group P-1 (No. 2), with a = 5.203 Å, b = 5.212 Å, c = 7.058 Å, α = 85.35°, β = 85.40° and γ = 89.00°. The asymmetric unit holds Ac at (0.000, 0.000, 0.000), Tl at (0.466, 0.466, 0.249), Re at (0.000, 0.000, 0.500), O at (0.170, 0.815, 0.695), O at (0.187, 0.831, 0.306), O at (0.263, 0.265, 0.489) and O at (0.320, 0.320, 0.976).

For the density, the calculation gives 8.3 Mg/m³. As for the uncorrected formation energy: -1.50 eV per atom. Its magnetization is 0.00 μB/atom. Its crystal system is triclinic.


4.
Material: SmNpC
Method: DFT, GGA-PBE
State: optimized geometry

It has space group I4mm (No. 107), with a = 3.162 Å, b = 3.162 Å, c = 11.810 Å, α = 90.00°, β = 90.00° and γ = 90.00°. The asymmetric unit holds Sm at (0.000, 0.000, 0.000), Np at (0.000, 0.000, 0.761) and C at (0.000, 0.000, 0.355).

For the density, the calculation gives 11.2 Mg/m³. The calculation puts the energy relative to the lowest polymorph listed for this composition at 0.315 eV/atom. As for the density of states at the Fermi level: 11.999 states/eV/cell. Its magnetization is 1.23 μB/atom. Its crystal system is tetragonal.


5.
Material: Ho4C5
Method: DFT, GGA-PBE
State: optimized geometry

It has space group Pbam (No. 55), with a = 6.550 Å, b = 11.914 Å, c = 3.646 Å, α = 90.00°, β = 90.00° and γ = 90.00°. The asymmetric unit holds Ho at (0.108, 0.195, 0.000), Ho at (0.244, 0.957, 0.500), C at (0.000, 0.000, 0.000), C at (0.097, 0.655, 0.500) and C at (0.137, 0.765, 0.500).

For the density, the calculation gives 8.4 Mg/m³. As for the density of states at the Fermi level: 7.091 states/eV/cell. Its magnetization is 0.00 μB/atom. Its crystal system is orthorhombic. The energy comes out at -7.50 eV per atom.


6.
Material: CdBrO2F
Method: DFT, GGA-PBE
State: optimized geometry

It has space group P4/mmm (No. 123), with a = 3.823 Å, b = 3.823 Å, c = 5.588 Å, α = 90.00°, β = 90.00° and γ = 90.00°. The asymmetric unit holds Cd at (0.000, 0.000, 0.000), Br at (0.500, 0.500, 0.500), O at (0.000, 0.500, 0.500) and F at (0.500, 0.500, 0.000).

For the density, the calculation gives 4.9 Mg/m³. As for the uncorrected formation energy: -0.04 eV per atom. As for the density of states at the Fermi level: 1.463 states/eV/cell. Its magnetization is 0.00 μB/atom. Its crystal system is tetragonal.


7.
Material: PaAlPt2
Method: DFT, GGA-PBE
State: optimized geometry

It has space group P4/mmm (No. 123), with a = 3.180 Å, b = 3.180 Å, c = 7.037 Å, α = 90.00°, β = 90.00° and γ = 90.00°. The asymmetric unit holds Pa at (0.000, 0.000, 0.000), Al at (0.000, 0.000, 0.500) and Pt at (0.500, 0.500, 0.290).

For the density, the calculation gives 15.1 Mg/m³. As for the density of states at the Fermi level: 3.937 states/eV/cell. Its magnetization is 0.00 μB/atom. Its crystal system is tetragonal. The energy comes out at -7.26 eV per atom.


8.
Material: BeCo2Sb
Method: DFT, GGA-PBE
State: optimized geometry

It has space group C2/m (No. 12), with a = 5.379 Å, b = 7.815 Å, c = 2.869 Å, α = 90.00°, β = 117.98° and γ = 90.00°. The asymmetric unit holds Be at (0.000, 0.000, 0.000), Co at (0.250, 0.250, 0.500) and Sb at (0.000, 0.500, 0.000).

For the density, the calculation gives 7.8 Mg/m³. The calculation puts the energy relative to the lowest polymorph listed for this composition at 0.395 eV/atom. As for the uncorrected formation energy: 0.37 eV per atom. As for the density of states at the Fermi level: 6.265 states/eV/cell. Its magnetization is 0.31 μB/atom. Its crystal system is monoclinic.


9.
Material: TaNbN
Method: DFT, GGA-PBE
State: optimized geometry

It has space group C2/m (No. 12), with a = 10.378 Å, b = 3.058 Å, c = 5.270 Å, α = 90.00°, β = 100.18° and γ = 90.00°. The asymmetric unit holds Ta at (0.122, 0.000, 0.372), Nb at (0.122, 0.500, 0.871) and N at (0.249, 0.500, 0.256).

For the density, the calculation gives 11.6 Mg/m³. The calculation puts the energy relative to the lowest polymorph listed for this composition at 0.084 eV/atom. As for the uncorrected formation energy: -0.72 eV per atom. As for the density of states at the Fermi level: 8.230 states/eV/cell. Its magnetization is 0.00 μB/atom. Its crystal system is monoclinic.


10.
Material: SmSc3Sb3
Method: DFT, GGA-PBE
State: optimized geometry

It has space group R-3 (No. 148, hexagonal axes), with a = 8.7395 Å, b = 8.7395 Å, c = 17.6852 Å, α = 90.00°, β = 90.00° and γ = 120.00°. The asymmetric unit holds Sm at (0.0000, 0.0000, 0.1650), Sc at (0.0004, 0.2691, 0.5810) and Sb at (0.0031, 0.3754, 0.4138).

For the density, the calculation gives 5.5 Mg/m³. As for the uncorrected formation energy: -0.79 eV per atom. As for the density of states at the Fermi level: 28.884 states/eV/cell. Its magnetization is 0.00 μB/atom. Its crystal system is trigonal.


11.
Material: LaMg4Cd8
Method: DFT, GGA-PBE
State: optimized geometry

It has space group I4/mmm (No. 139), with a = 9.926 Å, b = 9.926 Å, c = 6.054 Å, α = 90.00°, β = 90.00° and γ = 90.00°. The asymmetric unit holds La at (0.000, 0.000, 0.000), Mg at (0.250, 0.250, 0.250), Cd at (0.000, 0.216, 0.500) and Cd at (0.000, 0.348, 0.000).

For the density, the calculation gives 6.3 Mg/m³. As for the density of states at the Fermi level: 7.128 states/eV/cell. Its magnetization is 0.00 μB/atom. Its crystal system is tetragonal. The energy comes out at -1.63 eV per atom.


12.
Material: CeEu2Cu
Method: DFT, GGA-PBE
State: optimized geometry

It has space group P4/mmm (No. 123), with a = 3.642 Å, b = 3.642 Å, c = 9.092 Å, α = 90.00°, β = 90.00° and γ = 90.00°. The asymmetric unit holds Ce at (0.000, 0.000, 0.000), Eu at (0.500, 0.500, 0.305) and Cu at (0.000, 0.000, 0.500).

For the density, the calculation gives 7.0 Mg/m³. The calculation puts the energy relative to the lowest polymorph listed for this composition at 0.000 eV/atom. As for the density of states at the Fermi level: 9.156 states/eV/cell. Its magnetization is 4.11 μB/atom. Its crystal system is tetragonal.